1.
Computed, not measured: Na2MnS3 after structural relaxation at the PBE level of DFT.

```
Na2MnS3
1.0
2.688 -6.539 0.000
2.688 6.539 0.000
0.000 0.000 3.491
Na Mn S
2 1 3
direct
0.160 0.840 0.000
0.840 0.160 0.000
0.500 0.500 0.500
0.000 0.000 0.500
0.379 0.621 0.000
0.621 0.379 0.000
```

space group: No. 65
formation energy (no corrections): -0.71 eV per atom

=====

2.
Computed, not measured: TaMnPb3 after structural relaxation at the PBE level of DFT.

```
TaMnPb3
1.0
5.058 0.000 0.000
0.000 5.058 0.000
0.000 0.000 5.058
Ta Mn Pb
1 1 3
direct
0.000 0.000 0.000
0.500 0.500 0.500
0.000 0.500 0.500
0.500 0.000 0.500
0.500 0.500 0.000
```

space group: No. 221
energy of formation: 1340 meV per atom
energy above the lowest structure with this stoichiometry: 0.4141 eV/atom

=====

What electronic total energy values result from the calculations? In sequence: -0.349; -0.374 Ry per atom.